No. 1
A relaxed structure of Cs8HAu3. Source: Alexandria via LeMat-Bulk, functional PBE-GGA.

abc: 8.9269 8.9269 10.2073
angles: 90.00 90.00 109.11
Closest atoms and distances in Å follow each position.
Element x y z (fractional)
Cs: 0.2479 0.7521 0.0000  3 Au 3.67
Cs: 0.7521 0.2479 0.0000  3 Au 3.67
Cs: 0.7257 0.2743 0.5000  1 H 3.28, 2 Au 3.61
Cs: 0.2775 0.2676 0.7326  1 H 3.34, 2 Au 3.57-3.61
Cs: 0.7225 0.7324 0.7326  1 H 3.34, 2 Au 3.57-3.61
Cs: 0.7324 0.7225 0.2674  1 H 3.34, 2 Au 3.57-3.61
Cs: 0.2676 0.2775 0.2674  1 H 3.34, 2 Au 3.57-3.61
Cs: 0.2743 0.7257 0.5000  1 H 3.28, 2 Au 3.61
H: 0.5000 0.5000 0.5000  6 Cs 3.28-3.34
Au: 0.5000 0.5000 0.0000  6 Cs 3.61-3.67
Au: 0.5000 0.0000 0.7446  6 Cs 3.57-3.67
Au: 0.0000 0.5000 0.2554  6 Cs 3.57-3.67

Its density of states at the Fermi level is 7.18 states/eV per cell. For the total energy, the calculation gives -1.852 eV per atom.


No. 2
A relaxed structure of Cs6HAu2. Source: Alexandria via LeMat-Bulk, functional PBE-GGA.

abc: 8.5493 8.6906 14.8063
angles: 90.09 90.00 90.00
Closest atoms and distances in Å follow each position.
Element x y z (fractional)
Cs: 0.7216 0.8156 0.9994  1 H 3.33, 2 Au 3.63
Cs: 0.2784 0.1844 0.0006  1 H 3.33, 2 Au 3.63
Cs: 0.7285 0.3486 0.1537  1 H 3.28, 2 Au 3.61-3.65
Cs: 0.7715 0.8486 0.6537  1 H 3.28, 2 Au 3.61-3.65
Cs: 0.2216 0.6844 0.5006  1 H 3.33, 2 Au 3.63
Cs: 0.7231 0.3491 0.8440  1 H 3.27, 2 Au 3.61-3.64
Cs: 0.2769 0.6509 0.1560  1 H 3.27, 2 Au 3.61-3.64
Cs: 0.2231 0.1509 0.6560  1 H 3.27, 2 Au 3.61-3.64
Cs: 0.7769 0.8491 0.3440  1 H 3.27, 2 Au 3.61-3.64
Cs: 0.7784 0.3156 0.4994  1 H 3.33, 2 Au 3.63
Cs: 0.2285 0.1514 0.3463  1 H 3.28, 2 Au 3.61-3.65
Cs: 0.2715 0.6514 0.8463  1 H 3.28, 2 Au 3.61-3.65
Au: 0.9986 0.5008 0.6789  6 Cs 3.61-3.65
Au: 0.5014 0.0008 0.1789  6 Cs 3.61-3.65
Au: 0.0014 0.4992 0.3211  6 Cs 3.61-3.65
Au: 0.4986 0.9992 0.8211  6 Cs 3.61-3.65
H: 0.5000 0.5000 0.0000  6 Cs 3.27-3.33
H: 0.0000 0.0000 0.5000  6 Cs 3.27-3.33

Its density of states at the Fermi level is 12.70 states/eV per cell. For the total energy, the calculation gives -1.830 eV per atom. As for the energy above the most stable polymorph in this dataset: 0 meV per atom.


No. 3
A relaxed structure of Cs5H2Au. Source: Alexandria via LeMat-Bulk, functional PBE-GGA.

abc: 6.2787 10.0185 15.9623
angles: 90.00 90.00 108.26
Closest atoms and distances in Å follow each position.
Element x y z (fractional)
H: 0.8199 0.6399 0.4589  5 Cs 3.06-3.34
H: 0.1801 0.3601 0.5411  5 Cs 3.06-3.34
H: 0.8199 0.6399 0.0411  5 Cs 3.06-3.34
H: 0.1801 0.3601 0.9589  5 Cs 3.06-3.34
Au: 0.7733 0.5465 0.7500  6 Cs 3.58-3.62
Au: 0.2267 0.4535 0.2500  6 Cs 3.58-3.62
Cs: 0.9217 0.8433 0.6085  1 H 3.07
Cs: 0.0783 0.1567 0.3915  1 H 3.07
Cs: 0.3202 0.6405 0.0527  3 H 3.06-3.14
Cs: 0.0783 0.1567 0.1085  1 H 3.07
Cs: 0.3202 0.6405 0.4473  3 H 3.06-3.14
Cs: 0.8167 0.6333 0.2500  2 H 3.34, 2 Au 3.58
Cs: 0.9217 0.8433 0.8915  1 H 3.07
Cs: 0.1833 0.3667 0.7500  2 H 3.34, 2 Au 3.58
Cs: 0.6798 0.3595 0.5527  3 H 3.06-3.14
Cs: 0.6798 0.3595 0.9473  3 H 3.06-3.14

Its density of states at the Fermi level is 7.43 states/eV per cell. For the total energy, the calculation gives -1.879 eV per atom.


No. 4
A relaxed structure of Cs6H8Au. Source: Alexandria via LeMat-Bulk, functional PBE-GGA.

abc: 8.9846 8.9846 7.6565
angles: 54.07 54.07 60.00
Closest atoms and distances in Å follow each position.
Element x y z (fractional)
H: 0.6507 0.6507 0.0478  6 Cs 3.15-3.25
H: 0.8821 0.2319 0.8133  1 Au 1.89
H: 0.9273 0.1179 0.1867  1 Au 1.89
H: 0.3493 0.3493 0.9522  6 Cs 3.15-3.25
H: 0.7681 0.9273 0.1867  1 Au 1.89
H: 0.2319 0.0727 0.8133  1 Au 1.89
H: 0.1179 0.7681 0.1867  1 Au 1.89
H: 0.0727 0.8821 0.8133  1 Au 1.89
Cs: 0.9403 0.5256 0.2594  5 H 2.93-3.25
Cs: 0.5256 0.2747 0.2594  5 H 2.93-3.25
Cs: 0.4744 0.7253 0.7406  5 H 2.93-3.25
Cs: 0.7253 0.0597 0.7406  5 H 2.93-3.25
Cs: 0.2747 0.9403 0.2594  5 H 2.93-3.25
Cs: 0.0597 0.4744 0.7406  5 H 2.93-3.25
Au: 0.0000 0.0000 0.0000  6 H 1.89

Its density of states at the Fermi level is 7.24 states/eV per cell. For the total energy, the calculation gives -2.358 eV per atom.


No. 5
A relaxed structure of Cs2H4Au. Source: Alexandria via LeMat-Bulk, functional PBE-GGA.

abc: 6.0518 6.6738 9.3151
angles: 99.57 90.00 90.00
Closest atoms and distances in Å follow each position.
Element x y z (fractional)
H: 0.7500 0.2102 0.0395  1 Au 1.77
H: 0.9259 0.4846 0.2798  1 Au 1.71
H: 0.7500 0.0943 0.3418  1 Au 1.76
H: 0.5741 0.4846 0.2798  1 Au 1.71
H: 0.0741 0.5154 0.7202  1 Au 1.71
H: 0.2500 0.9057 0.6582  1 Au 1.76
H: 0.2500 0.7898 0.9605  1 Au 1.77
H: 0.4259 0.5154 0.7202  1 Au 1.71
Au: 0.2500 0.7160 0.7691  4 H 1.71-1.77
Au: 0.7500 0.2840 0.2309  4 H 1.71-1.77
Cs: 0.2500 0.2642 0.9706  6 H 3.13-3.45
Cs: 0.7500 0.7358 0.0294  6 H 3.13-3.45
Cs: 0.7500 0.7754 0.5486  7 H 3.09-3.26
Cs: 0.2500 0.2246 0.4514  7 H 3.09-3.26

Its density of states at the Fermi level is 0.69 states/eV per cell. For the total energy, the calculation gives -2.654 eV per atom.


No. 6
A relaxed structure of CsH2Au. Source: Alexandria via LeMat-Bulk, functional PBE-GGA.

abc: 4.9105 4.9105 4.9105
angles: 60.00 60.00 60.00
Closest atoms and distances in Å follow each position.
Element x y z (fractional)
Au: 0.5000 0.5000 0.5000  8 H 3.01
H: 0.2500 0.2500 0.2500  4 Au 3.01, 4 Cs 3.01
H: 0.7500 0.7500 0.7500  4 Cs 3.01, 4 Au 3.01
Cs: 0.0000 0.0000 0.0000  8 H 3.01

Its density of states at the Fermi level is 2.28 states/eV per cell. For the total energy, the calculation gives -1.893 eV per atom. As for the energy above the most stable polymorph in this dataset: 1089 meV per atom.


No. 7
A relaxed structure of Cs2H4Au. Source: Alexandria via LeMat-Bulk, functional PBE-GGA.

abc: 6.0379 5.9542 10.5749
angles: 90.00 114.25 90.00
Closest atoms and distances in Å follow each position.
Element x y z (fractional)
Cs: 0.2383 0.2500 0.9744  5 H 2.87-3.11
Cs: 0.1508 0.2500 0.3939  5 H 2.98-3.20
Cs: 0.7617 0.7500 0.0256  5 H 2.87-3.11
Cs: 0.8492 0.7500 0.6061  5 H 2.98-3.20
H: 0.3412 0.7500 0.3887  1 Au 1.70
H: 0.5542 0.9689 0.7445  1 Au 1.70
H: 0.6781 0.2500 0.9325  1 Au 1.72
H: 0.4458 0.4689 0.2555  1 Au 1.70
H: 0.5542 0.5311 0.7445  1 Au 1.70
H: 0.6588 0.2500 0.6113  1 Au 1.70
H: 0.3219 0.7500 0.0675  1 Au 1.72
H: 0.4458 0.0311 0.2555  1 Au 1.70
Au: 0.3927 0.7500 0.2426  4 H 1.70-1.72
Au: 0.6073 0.2500 0.7574  4 H 1.70-1.72

Its density of states at the Fermi level is 3.83 states/eV per cell. For the total energy, the calculation gives -2.756 eV per atom.


No. 8
A relaxed structure of Cs7HAu4. Source: Alexandria via LeMat-Bulk, functional PBE-GGA.

abc: 4.9613 8.8051 14.5279
angles: 104.59 90.00 106.36
Closest atoms and distances in Å follow each position.
Element x y z (fractional)
Cs: 0.6609 0.3219 0.0513  5 Au 3.60-3.94
Cs: 0.9727 0.9454 0.2147  4 Au 3.62-3.67
Cs: 0.3473 0.6946 0.9581  5 Au 3.57-3.99
Cs: 0.0415 0.0829 0.7476  1 H 3.31, 3 Au 3.56-3.65
Cs: 0.7328 0.4656 0.3716  1 H 3.20
Cs: 0.4595 0.9191 0.4763  2 H 3.31, 2 Au 3.59
Cs: 0.2807 0.5614 0.6514  2 H 3.34, 1 Au 3.52
Au: 0.1074 0.2148 0.4545  6 Cs 3.52-3.66
Au: 0.3142 0.6285 0.2202  8 Cs 3.67-3.99
Au: 0.0029 0.0058 0.9768  6 Cs 3.56-3.62
Au: 0.7057 0.4113 0.8103  7 Cs 3.65-3.82
H: 0.8744 0.7488 0.5673  6 Cs 3.20-3.34

Its density of states at the Fermi level is 7.59 states/eV per cell. For the total energy, the calculation gives -2.100 eV per atom. As for the energy above the most stable polymorph in this dataset: 0 meV per atom.